PuPa3Ga, relaxed, DFT GGA-PBE; space-group type = Pnma, No. 62; total moment = 0.930 μB/atom; mass density = 14.63 Mg/m³; uncorrected energy = -9.264 eV per atom
1.0
-4.315 0.744 0.561
-1.061 -6.339 0.245
2.121 0.260 15.955
Pu Pa Ga
4 12 4
direct
0.750 0.616 0.644
0.250 0.884 0.144
0.250 0.384 0.356
0.750 0.116 0.856
0.250 0.868 0.747
0.750 0.632 0.247
0.750 0.132 0.253
0.250 0.368 0.753
0.750 0.099 0.643
0.250 0.401 0.143
0.250 0.901 0.357
0.750 0.599 0.857
0.750 0.638 0.455
0.250 0.862 0.955
0.250 0.362 0.545
0.750 0.138 0.045
0.250 0.863 0.550
0.750 0.637 0.050
0.750 0.137 0.450
0.250 0.363 0.950